Entry 1:
The following is a GGA-PBE calculation of an optimized crystal structure of LiCaPaIr, from the Alexandria database.

a b c (Å): 4.914 4.914 4.914
angles (deg): 60.00 60.00 60.00
Sites, in units of the cell vectors:
Li  0.000  0.000  0.000
Ca  0.250  0.250  0.250
Pa  0.750  0.750  0.750
Ir  0.500  0.500  0.500

Computed properties:
Energy of formation ... -130 meV per atom

Entry 2:
The following is a GGA-PBE calculation of an optimized crystal structure of LiCeSnS4, from the Alexandria database.

a b c (Å): 7.933 7.933 7.933
angles (deg): 122.23 118.07 89.78
Sites, in units of the cell vectors:
Li  0.373  0.123  0.250
Li  0.627  0.877  0.750
Ce  0.000  0.500  0.500
Ce  0.500  0.500  0.000
Sn  0.000  0.000  0.500
Sn  0.000  0.500  0.000
S  0.227  0.748  0.479
S  0.231  0.252  0.979
S  0.239  0.247  0.508
S  0.239  0.731  0.992
S  0.761  0.269  0.008
S  0.761  0.753  0.492
S  0.769  0.748  0.021
S  0.773  0.252  0.521

Computed properties:
Raw formation energy ... -1.147 eV/atom

Entry 3:
The following is a GGA-PBE calculation of an optimized crystal structure of Nd2Y3TmSb6, from the Alexandria database.

a b c (Å): 7.672 7.672 7.667
angles (deg): 99.61 99.61 120.03
Sites, in units of the cell vectors:
Nd  0.166  0.834  0.000
Nd  0.834  0.166  0.000
Y  0.000  0.000  0.500
Y  0.330  0.670  0.500
Y  0.670  0.330  0.500
Tm  0.500  0.500  0.000
Sb  0.089  0.416  0.747
Sb  0.260  0.260  0.256
Sb  0.416  0.089  0.747
Sb  0.584  0.911  0.253
Sb  0.740  0.740  0.744
Sb  0.911  0.584  0.253

Computed properties:
Raw formation energy ... -1.151 eV/atom

Entry 4:
The following is a GGA-PBE calculation of an optimized crystal structure of Cs2BI, from the Alexandria database.

a b c (Å): 10.430 10.430 10.430
angles (deg): 135.06 135.06 65.44
Sites, in units of the cell vectors:
Cs  0.080  0.625  0.955
Cs  0.375  0.330  0.455
Cs  0.670  0.125  0.045
Cs  0.875  0.920  0.545
B  0.000  0.000  0.000
B  0.750  0.250  0.500
I  0.250  0.750  0.500
I  0.500  0.500  0.000

Computed properties:
Energy relative to the lowest polymorph listed for this composition ... 0.036 eV per atom
Raw formation energy ... 0.394 eV/atom

Entry 5:
The following is a GGA-PBE calculation of an optimized crystal structure of TbNdY2Ho, from the Alexandria database.

a b c (Å): 7.134 7.134 7.225
angles (deg): 90.00 90.00 107.42
Sites, in units of the cell vectors:
Tb  0.004  0.996  0.750
Tb  0.996  0.004  0.250
Nd  0.272  0.728  0.750
Nd  0.728  0.272  0.250
Y  0.310  0.310  0.000
Y  0.310  0.310  0.500
Y  0.690  0.690  0.000
Y  0.690  0.690  0.500
Ho  0.274  0.726  0.250
Ho  0.726  0.274  0.750

Computed properties:
Energy of formation ... 387 meV per atom

Entry 6:
The following is a GGA-PBE calculation of an optimized crystal structure of Y2Ho2Sb2C, from the Alexandria database.

a b c (Å): 8.575 8.575 8.575
angles (deg): 147.73 147.73 46.28
Sites, in units of the cell vectors:
Y  0.158  0.158  0.000
Y  0.842  0.842  0.000
Ho  0.000  0.500  0.500
Ho  0.500  0.000  0.500
Sb  0.358  0.358  0.000
Sb  0.642  0.642  0.000
C  0.000  0.000  0.000

Computed properties:
Raw formation energy ... -0.807 eV/atom

Entry 7:
The following is a GGA-PBE calculation of an optimized crystal structure of TlAg2BiS4, from the Alexandria database.

a b c (Å): 7.891 7.891 7.868
angles (deg): 119.85 119.85 89.68
Sites, in units of the cell vectors:
Tl  0.000  0.000  0.000
Tl  0.000  0.000  0.500
Ag  0.000  0.500  0.000
Ag  0.500  0.000  0.500
Ag  0.500  0.500  0.000
Ag  0.500  0.500  0.500
Bi  0.000  0.500  0.500
Bi  0.500  0.000  0.000
S  0.248  0.257  0.002
S  0.257  0.248  0.502
S  0.258  0.741  0.005
S  0.259  0.742  0.495
S  0.741  0.258  0.505
S  0.742  0.259  0.995
S  0.743  0.752  0.498
S  0.752  0.743  0.998

Computed properties:
Raw formation energy ... -0.142 eV/atom

Entry 8:
The following is a GGA-PBE calculation of an optimized crystal structure of K2Be2CdO4, from the Alexandria database.

a b c (Å): 6.614 6.614 6.373
angles (deg): 111.38 111.38 27.29
Sites, in units of the cell vectors:
K  0.126  0.126  0.038
K  0.874  0.874  0.962
Be  0.320  0.320  0.525
Be  0.680  0.680  0.475
Cd  0.000  0.000  0.500
O  0.216  0.216  0.624
O  0.448  0.448  0.701
O  0.552  0.552  0.299
O  0.784  0.784  0.376

Computed properties:
Raw formation energy ... -1.795 eV/atom

Entry 9:
The following is a GGA-PBE calculation of an optimized crystal structure of BaZrRe2, from the Alexandria database.

a b c (Å): 5.718 5.718 2.982
angles (deg): 101.54 101.54 116.81
Sites, in units of the cell vectors:
Ba  0.000  0.000  0.000
Zr  0.500  0.500  0.000
Re  0.000  0.500  0.500
Re  0.500  0.000  0.500

Computed properties:
Energy relative to the lowest polymorph listed for this composition ... 0.630 eV per atom
Energy of formation ... 1152 meV per atom

Entry 10:
The following is a GGA-PBE calculation of an optimized crystal structure of Tl2CdCu, from the Alexandria database.

a b c (Å): 6.837 6.837 4.757
angles (deg): 110.27 110.27 28.08
Sites, in units of the cell vectors:
Tl  0.000  0.000  0.000
Tl  0.199  0.199  0.698
Cd  0.387  0.387  0.387
Cu  0.707  0.707  0.206

Computed properties:
Energy relative to the lowest polymorph listed for this composition ... 0.042 eV per atom
Energy of formation ... 181 meV per atom

Entry 11:
The following is a GGA-PBE calculation of an optimized crystal structure of Ta2BeRu, from the Alexandria database.

a b c (Å): 3.004 3.527 5.655
angles (deg): 90.00 90.16 90.00
Sites, in units of the cell vectors:
Ta  0.002  0.000  0.257
Ta  0.998  0.000  0.743
Be  0.500  0.500  0.500
Ru  0.500  0.500  0.000

Computed properties:
Energy of formation ... -94 meV per atom

Entry 12:
The following is a GGA-PBE calculation of an optimized crystal structure of TcIr2Au, from the Alexandria database.

a b c (Å): 4.797 4.797 2.799
angles (deg): 90.00 90.00 108.74
Sites, in units of the cell vectors:
Tc  0.000  0.000  0.000
Ir  0.000  0.500  0.500
Ir  0.500  0.000  0.500
Au  0.500  0.500  0.000

Computed properties:
Energy relative to the lowest polymorph listed for this composition ... 0.261 eV per atom
Energy of formation ... 283 meV per atom

Number 1: final energy -5.70 eV/atom. Number 2: final energy -5.20 eV/atom. Number 3: final energy -6.00 eV/atom. Number 4: final energy -2.09 eV/atom. Number 5: final energy -4.99 eV/atom. Number 6: final energy -6.46 eV/atom. Number 7: final energy -3.70 eV/atom. Number 8: final energy -5.17 eV/atom. Number 9: final energy -7.69 eV/atom. Number 10: final energy -2.26 eV/atom. Number 11: final energy -9.27 eV/atom. Number 12: final energy -7.56 eV/atom.